## KBaGa2F8 (PBE)

Data for a relaxed structure of KBaGa2F8.

Cell and atoms, written as CIF:
```
data_KBaGa2F8
_cell_length_a 6.006
_cell_length_b 6.006
_cell_length_c 8.353
_cell_angle_alpha 90.00
_cell_angle_beta 90.00
_cell_angle_gamma 120.00
_symmetry_space_group_name_H-M 'P 1'
_symmetry_Int_Tables_number 1
_symmetry_space_group_name_Hall 'P 1'
loop_
_atom_site_label
_atom_site_type_symbol
_atom_site_fract_x
_atom_site_fract_y
_atom_site_fract_z
_atom_site_occupancy
K1 K 0.000 0.000 0.000 1
Ba1 Ba 0.000 0.000 0.500 1
Ga1 Ga 0.333 0.667 0.822 1
Ga2 Ga 0.667 0.333 0.178 1
F1 F 0.156 0.341 0.728 1
F2 F 0.185 0.844 0.728 1
F3 F 0.333 0.667 0.041 1
F4 F 0.341 0.185 0.272 1
F5 F 0.659 0.815 0.728 1
F6 F 0.667 0.333 0.959 1
F7 F 0.815 0.156 0.272 1
F8 F 0.844 0.659 0.272 1
```

Calculated values
Symmetry: P-3 (147)
Final energy in eV per cell: -56.879
Formation energy without anion corrections in eV per atom: -2.7362

---

## Dy2Mn9Cr3Ge12 (PBE)

Data for a relaxed structure of Dy2Mn9Cr3Ge12.

Cell and atoms, written as CIF:
```
data_Dy2Mn9Cr3Ge12
_cell_length_a 5.153
_cell_length_b 16.325
_cell_length_c 5.174
_cell_angle_alpha 90.00
_cell_angle_beta 119.74
_cell_angle_gamma 90.00
_symmetry_space_group_name_H-M 'P 1'
_symmetry_Int_Tables_number 1
_symmetry_space_group_name_Hall 'P 1'
loop_
_atom_site_label
_atom_site_type_symbol
_atom_site_fract_x
_atom_site_fract_y
_atom_site_fract_z
_atom_site_occupancy
Dy1 Dy 0.000 0.000 0.000 1
Dy2 Dy 0.000 0.500 0.000 1
Mn1 Mn 0.000 0.125 0.500 1
Mn2 Mn 0.000 0.625 0.500 1
Mn3 Mn 0.500 0.126 0.000 1
Mn4 Mn 0.500 0.127 0.500 1
Mn5 Mn 0.500 0.375 0.000 1
Mn6 Mn 0.500 0.375 0.500 1
Mn7 Mn 0.500 0.625 0.500 1
Mn8 Mn 0.500 0.626 0.000 1
Mn9 Mn 0.500 0.875 0.000 1
Cr1 Cr 0.000 0.376 0.500 1
Cr2 Cr 0.000 0.875 0.500 1
Cr3 Cr 0.500 0.875 0.500 1
Ge1 Ge 0.000 0.173 0.000 1
Ge2 Ge 0.000 0.327 0.000 1
Ge3 Ge 0.000 0.673 0.000 1
Ge4 Ge 0.000 0.827 0.000 1
Ge5 Ge 0.331 0.250 0.667 1
Ge6 Ge 0.332 0.501 0.667 1
Ge7 Ge 0.333 0.749 0.664 1
Ge8 Ge 0.334 0.001 0.665 1
Ge9 Ge 0.666 0.001 0.335 1
Ge10 Ge 0.667 0.749 0.336 1
Ge11 Ge 0.668 0.501 0.333 1
Ge12 Ge 0.669 0.250 0.333 1
```

Calculated values
Symmetry: P2 (3)
ΔH_f (0 K) in kcal/mol of atoms: -6.46
Final energy in eV per cell: -183.288

---

## LuPaRu (PBE)

Data for a relaxed structure of LuPaRu.

Cell and atoms, written as CIF:
```
data_LuPaRu
_cell_length_a 4.756
_cell_length_b 4.756
_cell_length_c 3.219
_cell_angle_alpha 90.00
_cell_angle_beta 90.00
_cell_angle_gamma 120.00
_symmetry_space_group_name_H-M 'P 1'
_symmetry_Int_Tables_number 1
_symmetry_space_group_name_Hall 'P 1'
loop_
_atom_site_label
_atom_site_type_symbol
_atom_site_fract_x
_atom_site_fract_y
_atom_site_fract_z
_atom_site_occupancy
Lu1 Lu 0.000 0.000 0.000 1
Pa1 Pa 0.667 0.333 0.396 1
Ru1 Ru 0.333 0.667 0.660 1
```

Calculated values
Symmetry: P3m1 (156)
Energy above the lowest structure with this stoichiometry in eV per atom: 0.228
ΔH_f (0 K) in kcal/mol of atoms: -2.20
Final energy in eV per cell: -23.578

---

## MgTiVS4 (PBE)

Data for a relaxed structure of MgTiVS4.

Cell and atoms, written as CIF:
```
data_MgTiVS4
_cell_length_a 7.239
_cell_length_b 7.239
_cell_length_c 7.239
_cell_angle_alpha 119.83
_cell_angle_beta 117.64
_cell_angle_gamma 92.21
_symmetry_space_group_name_H-M 'P 1'
_symmetry_Int_Tables_number 1
_symmetry_space_group_name_Hall 'P 1'
loop_
_atom_site_label
_atom_site_type_symbol
_atom_site_fract_x
_atom_site_fract_y
_atom_site_fract_z
_atom_site_occupancy
Mg1 Mg 0.375 0.125 0.250 1
Mg2 Mg 0.625 0.875 0.750 1
Ti1 Ti 0.000 0.000 0.500 1
Ti2 Ti 0.000 0.500 0.000 1
V1 V 0.000 0.500 0.500 1
V2 V 0.500 0.500 0.000 1
S1 S 0.222 0.745 0.477 1
S2 S 0.232 0.255 0.977 1
S3 S 0.245 0.273 0.528 1
S4 S 0.245 0.716 0.972 1
S5 S 0.755 0.284 0.028 1
S6 S 0.755 0.727 0.472 1
S7 S 0.768 0.745 0.023 1
S8 S 0.778 0.255 0.523 1
```

Calculated values
Symmetry: Imma (74)
Final energy in eV per cell: -86.689
Formation energy without anion corrections in eV per atom: -1.1752